Below is a relaxed structure of Hf2SbO, with properties calculated at the GGA-PBE level.

## Properties
As for the polymorph energy (0 for the lowest one): 56.7 kJ per mole of atoms. The total magnetization is 0.000 μB per atom. The value obtained for the energy is -7.789 eV/atom.

Cell and atoms, written as POSCAR:
```
Hf2SbO
1.0
0.0000 3.3009 3.3009
3.3009 0.0000 3.3009
3.3009 3.3009 0.0000
Hf Sb O
2 1 1
Cartesian
1.6505 1.6505 1.6505
4.9514 4.9514 4.9514
0.0000 0.0000 0.0000
3.3009 3.3009 3.3009
```


Below is a relaxed structure of Hf2SbO, with properties calculated at the GGA-PBE level.

## Properties
As for the polymorph energy (0 for the lowest one): 0.0 kJ per mole of atoms. The total magnetization is 0.000 μB per atom. The value obtained for the energy is -8.376 eV/atom.

Cell and atoms, written as POSCAR:
```
Hf2SbO
1.0
1.7706 1.0223 6.5012
-1.7706 1.0223 6.5012
0.0000 -2.0446 6.5012
Hf Sb O
2 1 1
Cartesian
0.0000 0.0000 4.3376
0.0000 0.0000 15.1659
0.0000 0.0000 0.0000
0.0000 0.0000 9.7517
```


Below is a relaxed structure of HfSbO2, with properties calculated at the GGA-PBE level.

## Properties
The total magnetization is 0.000 μB per atom. The value obtained for the energy is -8.297 eV/atom.

Cell and atoms, written as POSCAR:
```
HfSbO2
1.0
1.6009 0.9243 8.7353
-1.6009 0.9243 8.7353
0.0000 -1.8486 8.7353
Hf Sb O
1 1 2
Cartesian
0.0000 0.0000 0.0000
0.0000 0.0000 13.1030
0.0000 0.0000 9.7128
0.0000 0.0000 16.4931
```


Below is a relaxed structure of HfScSbO6, with properties calculated at the GGA-PBE level.

## Properties
The total magnetization is 0.000 μB per atom. The value obtained for the energy is -8.208 eV/atom.

Cell and atoms, written as POSCAR:
```
HfScSbO6
1.0
5.3056 0.0000 0.0000
-2.6528 4.5948 0.0000
0.0000 0.0000 9.1782
Hf Sc Sb O
2 2 2 12
Cartesian
0.0000 3.0632 2.2945
2.6528 1.5316 6.8836
0.0000 0.0000 0.0000
0.0000 0.0000 4.5891
0.0000 3.0632 6.8836
2.6528 1.5316 2.2945
-0.8645 1.6008 5.7948
-1.6987 3.0457 7.9725
0.8645 1.6008 7.9725
-0.8342 4.5431 5.7948
1.8185 0.0517 1.2057
0.9541 1.5490 3.3834
1.6987 3.0457 5.7948
0.8342 4.5431 7.9725
3.4870 0.0517 3.3834
1.7883 2.9940 1.2057
4.3515 1.5490 1.2057
3.5173 2.9940 3.3834
```


Below is a relaxed structure of SmHfSb2O, with properties calculated at the GGA-PBE level.

## Properties
The total magnetization is 0.000 μB per atom. The value obtained for the energy is -7.040 eV/atom.

Cell and atoms, written as POSCAR:
```
SmHfSb2O
1.0
3.9210 0.0000 0.0000
0.0000 3.9210 0.0000
0.0000 0.0000 14.9568
Sm Hf Sb O
2 2 4 2
Cartesian
0.9803 0.9803 1.1833
2.9408 2.9408 13.7734
0.9803 0.9803 8.5327
2.9408 2.9408 6.4240
0.9803 0.9803 5.5282
0.9803 0.9803 11.5623
2.9408 2.9408 3.3945
2.9408 2.9408 9.4286
0.9803 2.9408 0.0000
2.9408 0.9803 0.0000
```


Below is a relaxed structure of HfSnSbO6, with properties calculated at the GGA-PBE level.

## Properties
The total magnetization is 0.000 μB per atom. The value obtained for the energy is -7.305 eV/atom.

Cell and atoms, written as POSCAR:
```
HfSnSbO6
1.0
5.4092 0.0000 0.0000
-2.7046 4.6845 0.0000
0.0000 0.0000 9.5022
Hf Sn Sb O
2 2 2 12
Cartesian
0.0000 3.1230 2.3756
2.7046 1.5615 7.1267
0.0000 0.0000 0.0000
0.0000 0.0000 4.7511
0.0000 3.1230 7.1267
2.7046 1.5615 2.3756
-0.9162 1.6800 6.0347
-1.7077 3.0510 8.2186
0.9162 1.6800 8.2186
-0.7915 4.6379 6.0347
1.9131 0.0466 1.2836
0.9969 1.6335 3.4675
1.7077 3.0510 6.0347
0.7915 4.6379 8.2186
3.4962 0.0466 3.4675
1.7884 3.0045 1.2836
4.4124 1.6335 1.2836
3.6208 3.0045 3.4675
```


Below is a relaxed structure of SrHfSbO5, with properties calculated at the GGA-PBE level.

## Properties
The total magnetization is 0.082 μB per atom. The value obtained for the energy is -7.566 eV/atom.

Cell and atoms, written as POSCAR:
```
SrHfSbO5
1.0
3.7954 -4.7566 0.0000
3.7954 4.7566 0.0000
-3.7777 0.0000 7.1573
Sr Hf Sb O
2 2 2 10
Cartesian
0.9621 2.9992 5.3680
2.8510 -2.9992 1.7893
3.7954 0.0000 0.0000
1.9065 0.0000 3.5786
2.8510 2.8943 1.7893
0.9621 -2.8943 5.3680
-1.8791 0.4976 6.3991
1.4630 2.0232 3.0446
0.0098 -0.4976 2.8204
4.2389 2.0232 0.5340
0.9621 0.4165 5.3680
2.8510 -0.4165 1.7893
-0.4258 -2.0232 6.6232
3.8033 0.4976 4.3369
2.3500 -2.0232 4.1127
5.6922 -0.4976 0.7582
```


Below is a relaxed structure of HfSb2TeO, with properties calculated at the GGA-PBE level.

## Properties
As for the polymorph energy (0 for the lowest one): 71.3 kJ per mole of atoms. The total magnetization is 0.000 μB per atom. The value obtained for the energy is -4.619 eV/atom.

Cell and atoms, written as POSCAR:
```
HfSb2TeO
1.0
5.4758 0.0000 0.0000
0.0000 5.4758 0.0000
0.0000 0.0000 5.3719
Hf Sb Te O
1 2 1 1
Cartesian
0.0000 0.0000 0.0000
0.0000 2.7379 0.0000
2.7379 0.0000 0.0000
0.0000 0.0000 2.6859
2.7379 2.7379 2.6859
```


Below is a relaxed structure of HfSb2TeO, with properties calculated at the GGA-PBE level.

## Properties
As for the polymorph energy (0 for the lowest one): 0.0 kJ per mole of atoms. The total magnetization is 0.000 μB per atom. The value obtained for the energy is -5.358 eV/atom.

Cell and atoms, written as POSCAR:
```
HfSb2TeO
1.0
4.6642 0.0000 0.0000
0.0000 4.6642 0.0000
0.0000 0.0000 4.9415
Hf Sb Te O
1 2 1 1
Cartesian
0.0000 0.0000 0.0000
0.0000 2.3321 2.4708
2.3321 0.0000 2.4708
2.3321 2.3321 0.0000
2.3321 2.3321 2.4708
```


Below is a relaxed structure of HfThSb2O, with properties calculated at the GGA-PBE level.

## Properties
The total magnetization is 0.000 μB per atom. The value obtained for the energy is -7.658 eV/atom.

Cell and atoms, written as POSCAR:
```
HfThSb2O
1.0
4.0058 0.0000 0.0000
0.0000 4.0058 0.0000
0.0000 0.0000 14.2856
Hf Th Sb O
2 2 4 2
Cartesian
1.0014 1.0014 1.0920
3.0043 3.0043 13.1937
1.0014 1.0014 8.4770
3.0043 3.0043 5.8086
1.0014 1.0014 4.0744
1.0014 1.0014 12.3937
3.0043 3.0043 1.8920
3.0043 3.0043 10.2113
1.0014 3.0043 7.1428
3.0043 1.0014 7.1428
```


Below is a relaxed structure of HfTiSbO2, with properties calculated at the GGA-PBE level.

## Properties
The total magnetization is 0.248 μB per atom. The value obtained for the energy is -6.154 eV/atom.

Cell and atoms, written as POSCAR:
```
HfTiSbO2
1.0
4.0900 0.0000 0.0000
0.0000 4.0900 0.0000
0.0000 0.0000 5.8011
Hf Ti Sb O
1 1 1 2
Cartesian
0.0000 0.0000 0.0000
2.0450 2.0450 0.0000
0.0000 0.0000 2.9006
0.0000 2.0450 2.9006
2.0450 0.0000 2.9006
```


Below is a relaxed structure of TmHfSb2O, with properties calculated at the GGA-PBE level.

## Properties
The total magnetization is 0.000 μB per atom. The value obtained for the energy is -6.964 eV/atom.

Cell and atoms, written as POSCAR:
```
TmHfSb2O
1.0
3.8914 0.0000 0.0000
0.0000 3.8914 0.0000
0.0000 0.0000 15.8958
Tm Hf Sb O
2 2 4 2
Cartesian
0.9728 0.9728 1.0568
2.9185 2.9185 14.8390
0.9728 0.9728 9.8929
2.9185 2.9185 6.0029
0.9728 0.9728 6.7629
0.9728 0.9728 12.7147
2.9185 2.9185 3.1811
2.9185 2.9185 9.1329
0.9728 2.9185 0.0000
2.9185 0.9728 0.0000
```


Below is a relaxed structure of TmHfSbO6, with properties calculated at the GGA-PBE level.

## Properties
The total magnetization is 0.000 μB per atom. The value obtained for the energy is -8.107 eV/atom.

Cell and atoms, written as POSCAR:
```
TmHfSbO6
1.0
5.3561 0.0000 0.0000
-2.6781 4.6385 0.0000
0.0000 0.0000 9.5804
Tm Hf Sb O
2 2 2 12
Cartesian
0.0000 0.0000 0.0000
0.0000 0.0000 4.7902
0.0000 3.0924 2.3951
2.6781 1.5462 7.1853
0.0000 3.0924 7.1853
2.6781 1.5462 2.3951
-0.8965 1.6587 6.0873
-1.6898 3.0328 8.2833
0.8965 1.6587 8.2833
-0.7933 4.5856 6.0873
1.8848 0.0529 1.2971
0.9882 1.6058 3.4931
1.6898 3.0328 6.0873
0.7933 4.5856 8.2833
3.4714 0.0529 3.4931
1.7815 2.9798 1.2971
4.3679 1.6058 1.2971
3.5746 2.9798 3.4931
```


Below is a relaxed structure of HfUSb2O, with properties calculated at the GGA-PBE level.

## Properties
The total magnetization is 0.369 μB per atom. The value obtained for the energy is -8.144 eV/atom.

Cell and atoms, written as POSCAR:
```
HfUSb2O
1.0
3.9136 0.0000 0.0000
0.0000 3.9136 0.0000
0.0000 0.0000 13.8894
Hf U Sb O
2 2 4 2
Cartesian
0.9784 0.9784 0.9811
2.9352 2.9352 12.9083
0.9784 0.9784 8.1851
2.9352 2.9352 5.7042
0.9784 0.9784 4.0056
0.9784 0.9784 11.9010
2.9352 2.9352 1.9884
2.9352 2.9352 9.8838
0.9784 2.9352 6.9447
2.9352 0.9784 6.9447
```